DFT (PBE) results for CdSbW3 after structural relaxation.

Cell lengths 4.910, 4.910, 4.910 Å; angles 90.00, 90.00, 90.00 degrees
Fractional positions:
1 W 0.500 0.000 0.000
2 W 0.000 0.500 0.000
3 W 0.000 0.000 0.500
4 Cd 0.500 0.500 0.500
5 Sb 0.000 0.000 0.000

Calculated values
- density of states at the Fermi level (states/eV per atom) = 1.6365
- M_tot (μB/f.u.) = 0.00
- ΔE_f (raw) (eV/atom) = 2.447
- final energy (eV/atom) = -6.33
- distance to the lowest polymorph of the same formula (meV/atom) = 0

=====

DFT (PBE) results for CdSbW2 after structural relaxation.

Cell lengths 3.231, 3.231, 7.051 Å; angles 90.00, 90.00, 90.00 degrees
Fractional positions:
1 W 0.000 0.000 0.978
2 W 0.000 0.000 0.522
3 Cd 0.500 0.500 0.250
4 Sb 0.500 0.500 0.750

Calculated values
- density of states at the Fermi level (states/eV per atom) = 1.2873
- M_tot (μB/f.u.) = 0.00
- ΔE_f (raw) (eV/atom) = 0.898
- final energy (eV/atom) = -6.84
- distance to the lowest polymorph of the same formula (meV/atom) = 493

=====

DFT (PBE) results for Cd2SbW after structural relaxation.

Cell lengths 5.318, 5.318, 5.493 Å; angles 82.83, 82.83, 32.43 degrees
Fractional positions:
1 Cd 0.984 0.984 0.986
2 Cd 0.739 0.739 0.783
3 W 0.260 0.260 0.276
4 Sb 0.518 0.518 0.455

Calculated values
- density of states at the Fermi level (states/eV per atom) = 0.5383
- M_tot (μB/f.u.) = 0.00
- ΔE_f (raw) (eV/atom) = 0.541
- final energy (eV/atom) = -4.19

=====

DFT (PBE) results for Cd2SbW after structural relaxation.

Cell lengths 7.461, 7.461, 4.533 Å; angles 72.30, 72.30, 22.87 degrees
Fractional positions:
1 Cd 0.561 0.561 0.440
2 Cd 0.939 0.939 0.060
3 W 0.250 0.250 0.250
4 Sb 0.750 0.750 0.750

Calculated values
- density of states at the Fermi level (states/eV per atom) = 0.3931
- M_tot (μB/f.u.) = 0.00
- ΔE_f (raw) (eV/atom) = 0.480
- final energy (eV/atom) = -4.25

=====

DFT (PBE) results for Cd2SbW after structural relaxation.

Cell lengths 8.314, 8.314, 6.474 Å; angles 50.05, 50.05, 90.00 degrees
Each line ends with the local moment (μB).
Fractional positions:
1 Sb 0.500 0.500 0.000  -0.01
2 Sb 0.250 0.750 0.500  -0.01
3 Cd 0.375 0.348 0.750  0.01
4 Cd 0.652 0.125 0.250  0.01
5 Cd 0.098 0.625 0.250  0.01
6 Cd 0.875 0.902 0.750  0.01
7 W 0.750 0.250 0.500  0.87
8 W 0.000 0.000 0.000  0.87

Calculated values
- density of states at the Fermi level (states/eV per atom) = 0.7324
- M_tot (μB/f.u.) = 1.12
- ΔE_f (raw) (eV/atom) = 0.912
- final energy (eV/atom) = -3.81

=====

DFT (PBE) results for CdSb2W after structural relaxation.

Cell lengths 3.037, 3.037, 10.700 Å; angles 90.00, 90.00, 105.13 degrees
Fractional positions:
1 Sb 0.000 0.000 0.966
2 Sb 0.500 0.500 0.311
3 Cd 0.500 0.500 0.718
4 W 0.000 0.000 0.506

Calculated values
- density of states at the Fermi level (states/eV per atom) = 0.6003
- M_tot (μB/f.u.) = 0.00
- ΔE_f (raw) (eV/atom) = 0.535
- final energy (eV/atom) = -4.99

=====

DFT (PBE) results for CdSbW2 after structural relaxation.

Cell lengths 3.141, 4.051, 6.034 Å; angles 90.00, 90.00, 90.00 degrees
Fractional positions:
1 W 0.000 0.000 0.541
2 W 0.000 0.000 0.959
3 Sb 0.500 0.500 0.750
4 Cd 0.500 0.500 0.250

Calculated values
- density of states at the Fermi level (states/eV per atom) = 0.6699
- M_tot (μB/f.u.) = 0.00
- ΔE_f (raw) (eV/atom) = 0.937
- final energy (eV/atom) = -6.80
- distance to the lowest polymorph of the same formula (meV/atom) = 533

=====

DFT (PBE) results for CdSb2W after structural relaxation.

Cell lengths 7.324, 7.324, 7.324 Å; angles 155.51, 143.81, 44.18 degrees
Fractional positions:
1 Sb 0.013 0.013 0.000
2 Sb 0.310 0.810 0.500
3 Cd 0.688 0.188 0.500
4 W 0.488 0.488 0.000

Calculated values
- density of states at the Fermi level (states/eV per atom) = 0.8089
- M_tot (μB/f.u.) = 0.00
- ΔE_f (raw) (eV/atom) = 0.517
- final energy (eV/atom) = -5.01

=====

DFT (PBE) results for CdSb3W after structural relaxation.

Cell lengths 5.293, 5.293, 5.293 Å; angles 90.00, 90.00, 90.00 degrees
Fractional positions:
1 Sb 0.000 0.000 0.500
2 Sb 0.000 0.500 0.000
3 Sb 0.500 0.000 0.000
4 Cd 0.500 0.500 0.500
5 W 0.000 0.000 0.000

Calculated values
- density of states at the Fermi level (states/eV per atom) = 0.9673
- M_tot (μB/f.u.) = 0.00
- ΔE_f (raw) (eV/atom) = 0.586
- final energy (eV/atom) = -4.66
- distance to the lowest polymorph of the same formula (meV/atom) = 0

=====

DFT (PBE) results for Cd2SbW after structural relaxation.

Cell lengths 5.422, 5.422, 5.422 Å; angles 137.34, 129.81, 67.94 degrees
Each line ends with the local moment (μB).
Fractional positions:
1 Sb 0.509 0.509 0.000  0.00
2 W 0.744 0.244 0.500  0.55
3 Cd 0.249 0.749 0.500  0.00
4 Cd 0.998 0.998 0.000  0.00

Calculated values
- density of states at the Fermi level (states/eV per atom) = 0.5468
- M_tot (μB/f.u.) = 0.70
- ΔE_f (raw) (eV/atom) = 0.648
- final energy (eV/atom) = -4.08

=====

DFT (PBE) results for Cd2SbW after structural relaxation.

Cell lengths 5.028, 2.972, 5.561 Å; angles 85.84, 90.00, 90.00 degrees
Fractional positions:
1 W 0.500 0.605 0.752
2 Cd 0.000 0.063 0.982
3 Cd 0.500 0.156 0.254
4 Sb 0.000 0.675 0.512

Calculated values
- density of states at the Fermi level (states/eV per atom) = 0.4564
- M_tot (μB/f.u.) = 0.00
- ΔE_f (raw) (eV/atom) = 0.555
- final energy (eV/atom) = -4.17

=====

DFT (PBE) results for Cd2SbW after structural relaxation.

Cell lengths 5.330, 2.992, 5.444 Å; angles 75.08, 90.00, 90.00 degrees
Fractional positions:
1 W 0.500 0.750 0.750
2 Cd 0.000 0.583 0.517
3 Cd 0.000 0.917 0.983
4 Sb 0.500 0.250 0.250

Calculated values
- density of states at the Fermi level (states/eV per atom) = 0.5449
- M_tot (μB/f.u.) = 0.00
- ΔE_f (raw) (eV/atom) = 0.644
- final energy (eV/atom) = -4.08

=====

Q: What is the final energy in the eleventh record?
A: -4.17 eV/atom

=====

Q: Look up the ΔE_f (raw) of the tenth one.
A: 0.648 eV/atom